Computed, not measured: Ti7CdIn3 after structural relaxation at the GGA-PBE level of DFT.

a = 4.9647 Å, b = 7.2514 Å, c = 7.2514 Å
α = 82.42°, β = 112.48°, γ = 112.48°
Atoms (fractional coordinates):
Ti (0.2968, 0.5806, 0.0039)
Ti (0.7032, 0.9961, 0.4194)
Ti (0.2821, 0.2125, 0.2125)
Ti (0.2968, 0.0039, 0.5806)
Ti (0.0000, 0.5000, 0.5000)
Ti (0.7179, 0.7875, 0.7875)
Ti (0.7032, 0.4194, 0.9961)
In (0.0000, 0.2134, 0.7866)
In (0.5000, 0.0000, 0.0000)
In (0.0000, 0.7866, 0.2134)
Cd (0.5000, 0.5000, 0.5000)

theoretical density = 5.9 g/cm3
total DFT energy (no corrections) = -61.4 eV/cell

***

Computed, not measured: Ti2Cd2In after structural relaxation at the GGA-PBE level of DFT.

a = 7.9851 Å, b = 7.9851 Å, c = 3.3292 Å
α = 90.00°, β = 90.00°, γ = 90.00°
Each line ends with the local moment (μB).
Atoms (fractional coordinates):
Cd (0.8194, 0.3194, 0.5000)  0.01
Cd (0.1806, 0.6806, 0.5000)  0.01
Cd (0.3194, 0.1806, 0.5000)  0.01
Cd (0.6806, 0.8194, 0.5000)  0.01
In (0.5000, 0.5000, 0.0000)  0.00
In (0.0000, 0.0000, 0.0000)  0.00
Ti (0.6144, 0.1144, 0.0000)  0.75
Ti (0.3856, 0.8856, 0.0000)  0.75
Ti (0.8856, 0.6144, 0.0000)  0.75
Ti (0.1144, 0.3856, 0.0000)  0.75

theoretical density = 6.8 g/cm3
distance to the lowest polymorph of the same formula = 0.219 eV/f.u.
total DFT energy (no corrections) = -38.6 eV/cell

***

Computed, not measured: TiCdIn2 after structural relaxation at the GGA-PBE level of DFT.

a = 3.0845 Å, b = 3.0845 Å, c = 9.1925 Å
α = 90.00°, β = 90.00°, γ = 90.00°
Atoms (fractional coordinates):
In (0.0000, 0.0000, 0.2787)
In (0.0000, 0.0000, 0.7213)
Cd (0.5000, 0.5000, 0.0000)
Ti (0.5000, 0.5000, 0.5000)

theoretical density = 7.4 g/cm3
total DFT energy (no corrections) = -14.1 eV/cell

***

Computed, not measured: Ti3Cd12In5 after structural relaxation at the GGA-PBE level of DFT.

a = 14.5660 Å, b = 14.5660 Å, c = 14.5660 Å
α = 109.47°, β = 109.47°, γ = 109.47°
Each line ends with the local moment (μB).
Atoms (fractional coordinates):
Cd (0.0875, 0.9265, 0.3541)  0.02
Cd (0.8390, 0.9265, 0.0724)  0.02
Cd (0.2334, 0.5724, 0.6459)  0.02
Cd (0.1610, 0.0875, 0.7334)  0.02
Cd (0.9125, 0.8390, 0.7666)  0.02
Cd (0.4265, 0.3541, 0.5875)  0.02
Cd (0.6459, 0.0724, 0.2334)  0.02
Cd (0.3390, 0.7666, 0.4125)  0.02
Cd (0.5875, 0.7334, 0.6610)  0.02
Cd (0.9276, 0.5735, 0.1610)  0.02
Cd (0.0875, 0.1610, 0.2334)  0.02
Cd (0.1459, 0.4125, 0.0735)  0.02
Cd (0.4276, 0.6610, 0.0735)  0.02
Cd (0.5735, 0.6459, 0.4125)  0.02
Cd (0.2666, 0.4125, 0.8390)  0.02
Cd (0.2666, 0.8541, 0.9276)  0.02
Cd (0.6610, 0.4276, 0.5735)  0.02
Cd (0.6459, 0.5735, 0.9125)  0.02
Cd (0.5724, 0.3390, 0.9265)  0.02
Cd (0.7334, 0.5875, 0.1610)  0.02
Cd (0.4265, 0.0724, 0.3390)  0.02
Cd (0.2334, 0.6610, 0.0875)  0.02
Cd (0.4125, 0.2666, 0.3390)  0.02
Cd (0.9276, 0.3541, 0.2666)  0.02
Cd (0.3541, 0.4265, 0.0875)  0.02
Cd (0.5735, 0.9276, 0.6610)  0.02
Cd (0.0724, 0.4265, 0.8390)  0.02
Cd (0.9265, 0.8390, 0.5724)  0.02
Cd (0.3390, 0.5724, 0.4265)  0.02
Cd (0.8390, 0.9125, 0.2666)  0.02
Cd (0.6610, 0.2334, 0.5875)  0.02
Cd (0.5724, 0.2334, 0.1459)  0.02
Cd (0.4276, 0.7666, 0.8541)  0.02
Cd (0.8541, 0.2666, 0.4276)  0.02
Cd (0.4125, 0.1459, 0.5735)  0.02
Cd (0.3541, 0.9276, 0.7666)  0.02
Cd (0.5875, 0.8541, 0.4265)  0.02
Cd (0.7666, 0.4276, 0.3541)  0.02
Cd (0.7666, 0.3390, 0.9125)  0.02
Cd (0.1459, 0.7334, 0.5724)  0.02
Cd (0.7334, 0.1459, 0.0724)  0.02
Cd (0.9125, 0.0735, 0.6459)  0.02
Cd (0.0724, 0.6459, 0.7334)  0.02
Cd (0.8541, 0.5875, 0.9265)  0.02
Cd (0.9265, 0.0875, 0.8541)  0.02
Cd (0.1610, 0.0735, 0.9276)  0.02
Cd (0.0735, 0.1610, 0.4276)  0.02
Cd (0.0735, 0.9125, 0.1459)  0.02
Ti (0.7500, 0.3750, 0.1250)  1.44
Ti (0.6250, 0.2500, 0.3750)  1.44
Ti (0.2500, 0.1250, 0.3750)  1.44
Ti (0.6250, 0.3750, 0.7500)  1.44
Ti (0.2500, 0.6250, 0.8750)  1.44
Ti (0.8750, 0.7500, 0.1250)  1.44
Ti (0.7500, 0.8750, 0.6250)  1.44
Ti (0.1250, 0.2500, 0.8750)  1.44
Ti (0.3750, 0.6250, 0.2500)  1.44
Ti (0.3750, 0.7500, 0.6250)  1.44
Ti (0.1250, 0.8750, 0.7500)  1.44
Ti (0.8750, 0.1250, 0.2500)  1.44
In (0.0000, 0.5000, 0.0000)  -0.02
In (0.8750, 0.2500, 0.6250)  0.00
In (0.8750, 0.6250, 0.7500)  0.00
In (0.2500, 0.3750, 0.6250)  0.00
In (0.6250, 0.8750, 0.2500)  0.00
In (0.5000, 0.0000, 0.5000)  -0.02
In (0.5000, 0.0000, 0.0000)  -0.02
In (0.1250, 0.7500, 0.3750)  0.00
In (0.3750, 0.1250, 0.7500)  0.00
In (0.7500, 0.1250, 0.8750)  0.00
In (0.0000, 0.0000, 0.5000)  -0.02
In (0.5000, 0.5000, 0.0000)  -0.02
In (0.6250, 0.7500, 0.8750)  0.00
In (0.0000, 0.0000, 0.0000)  -0.02
In (0.0000, 0.5000, 0.5000)  -0.02
In (0.5000, 0.5000, 0.5000)  -0.02
In (0.1250, 0.3750, 0.2500)  0.00
In (0.7500, 0.6250, 0.3750)  0.00
In (0.3750, 0.2500, 0.1250)  0.00
In (0.2500, 0.8750, 0.1250)  0.00

theoretical density = 5.8 g/cm3
total DFT energy (no corrections) = -158.3 eV/cell

***

Computed, not measured: TiCdIn2 after structural relaxation at the GGA-PBE level of DFT.

a = 4.5096 Å, b = 4.5096 Å, c = 6.0865 Å
α = 68.26°, β = 68.26°, γ = 60.00°
Atoms (fractional coordinates):
In (0.0700, 0.0700, 0.7901)
In (0.2605, 0.2605, 0.2184)
Ti (0.6765, 0.6765, 0.9706)
Cd (0.4930, 0.4930, 0.5209)

theoretical density = 6.7 g/cm3
total DFT energy (no corrections) = -13.4 eV/cell

***

Computed, not measured: TiCd2In after structural relaxation at the GGA-PBE level of DFT.

a = 3.0607 Å, b = 3.0607 Å, c = 9.2620 Å
α = 90.00°, β = 90.00°, γ = 90.00°
Each line ends with the local moment (μB).
Atoms (fractional coordinates):
Cd (0.0000, 0.0000, 0.7745)  0.01
Cd (0.0000, 0.0000, 0.2255)  0.01
In (0.5000, 0.5000, 0.5000)  0.01
Ti (0.5000, 0.5000, 0.0000)  0.98

theoretical density = 7.4 g/cm3
total DFT energy (no corrections) = -12.2 eV/cell

***

no.,DFT formation energy (eV/atom)
1,0.268
2,0.210
3,0.035
4,0.440
5,0.216
6,0.063